# 1
VASP calculation (PBE-GGA) on crystalline ZnCd2Pt2 at its relaxed geometry.

Computed properties:
E: -33.8 eV/cell
SG: C2/c (15)

Lattice parameters (Å, degrees): 5.564 5.564 7.531 103.72 103.72 56.34
Element x y z (fractional)
1 Zn 0.166 0.834 0.750
2 Zn 0.834 0.166 0.250
3 Cd 0.202 0.489 0.348
4 Cd 0.489 0.202 0.848
5 Cd 0.511 0.798 0.152
6 Cd 0.798 0.511 0.652
7 Pt 0.017 0.728 0.997
8 Pt 0.272 0.983 0.503
9 Pt 0.728 0.017 0.497
10 Pt 0.983 0.272 0.003

***

# 2
VASP calculation (PBE-GGA) on crystalline ZnCd2Pt at its relaxed geometry.

Computed properties:
E: -9.6 eV/cell
SG: R3m (160)

Lattice parameters (Å, degrees): 9.832 9.832 9.832 17.38 17.38 17.38
Element x y z (fractional)
1 Zn 0.000 0.000 0.000
2 Cd 0.517 0.517 0.517
3 Cd 0.753 0.753 0.753
4 Pt 0.265 0.265 0.265

***

# 3
VASP calculation (PBE-GGA) on crystalline ZnCd2Pt3 at its relaxed geometry.

Computed properties:
E: -23.4 eV/cell
SG: R-3m (166)

Lattice parameters (Å, degrees): 5.097 5.097 5.097 65.76 65.76 65.76
Element x y z (fractional)
1 Zn 0.000 0.000 0.000
2 Cd 0.376 0.376 0.376
3 Cd 0.624 0.624 0.624
4 Pt 0.000 0.000 0.500
5 Pt 0.000 0.500 0.000
6 Pt 0.500 0.000 0.000

***

# 4
VASP calculation (PBE-GGA) on crystalline ZrZnCdPt at its relaxed geometry.

Computed properties:
E: -18.9 eV/cell
SG: F-43m (216)

Lattice parameters (Å, degrees): 4.668 4.668 4.668 60.00 60.00 60.00
Element x y z (fractional)
1 Zr 0.000 0.000 0.000
2 Zn 0.750 0.750 0.750
3 Cd 0.500 0.500 0.500
4 Pt 0.250 0.250 0.250

***

# 5
VASP calculation (PBE-GGA) on crystalline Zr2CdPt at its relaxed geometry.

Computed properties:
E: -26.0 eV/cell
SG: P4/mmm (123)

Lattice parameters (Å, degrees): 3.032 3.032 8.721 90.00 90.00 90.00
Element x y z (fractional)
1 Zr 0.000 0.000 0.227
2 Zr 0.000 0.000 0.773
3 Cd 0.500 0.500 0.500
4 Pt 0.500 0.500 0.000

***

# 6
VASP calculation (PBE-GGA) on crystalline Zr2CdPt at its relaxed geometry.

Computed properties:
E: -24.9 eV/cell
SG: P2/m (10)

Lattice parameters (Å, degrees): 5.384 2.972 5.415 90.00 112.12 90.00
Element x y z (fractional)
1 Zr 0.000 0.000 0.000
2 Zr 0.500 0.500 0.000
3 Cd 0.000 0.500 0.500
4 Pt 0.500 0.000 0.500

***

# 7
VASP calculation (PBE-GGA) on crystalline ZrCdPt6 at its relaxed geometry.

Computed properties:
E: -51.0 eV/cell
SG: P4/mmm (123)

Lattice parameters (Å, degrees): 4.053 4.053 8.063 90.00 90.00 90.00
Element x y z (fractional)
1 Zr 0.000 0.000 0.000
2 Cd 0.000 0.000 0.500
3 Pt 0.000 0.500 0.246
4 Pt 0.000 0.500 0.754
5 Pt 0.500 0.000 0.246
6 Pt 0.500 0.000 0.754
7 Pt 0.500 0.500 0.000
8 Pt 0.500 0.500 0.500

***

# 8
VASP calculation (PBE-GGA) on crystalline ZrCdPt3 at its relaxed geometry.

Computed properties:
polymorph energy (0 for the lowest one): 0.0000 eV per atom
E: -24.8 eV/cell
SG: Pm-3m (221)

Lattice parameters (Å, degrees): 4.982 4.982 4.982 90.00 90.00 90.00
Element x y z (fractional)
1 Zr 0.000 0.000 0.000
2 Cd 0.500 0.500 0.500
3 Pt 0.000 0.000 0.500
4 Pt 0.000 0.500 0.000
5 Pt 0.500 0.000 0.000

***

# 9
VASP calculation (PBE-GGA) on crystalline ZrCd2Pt2 at its relaxed geometry.

Computed properties:
polymorph energy (0 for the lowest one): 0.0000 eV per atom
E: -49.3 eV/cell
SG: P4/mbm (127)

Lattice parameters (Å, degrees): 7.016 7.016 4.057 90.00 90.00 90.00
Element x y z (fractional)
1 Zr 0.000 0.000 0.000
2 Zr 0.500 0.500 0.000
3 Cd 0.166 0.334 0.500
4 Cd 0.334 0.834 0.500
5 Cd 0.666 0.166 0.500
6 Cd 0.834 0.666 0.500
7 Pt 0.135 0.635 0.000
8 Pt 0.365 0.135 0.000
9 Pt 0.635 0.865 0.000
10 Pt 0.865 0.365 0.000

***

# 10
VASP calculation (PBE-GGA) on crystalline Zr2CdPt at its relaxed geometry.

Computed properties:
E: -26.0 eV/cell
SG: P2/m (10)

Lattice parameters (Å, degrees): 2.980 4.129 6.479 90.00 90.27 90.00
Element x y z (fractional)
1 Zr 0.003 0.000 0.267
2 Zr 0.997 0.000 0.733
3 Cd 0.500 0.500 0.000
4 Pt 0.500 0.500 0.500

***

# 11
VASP calculation (PBE-GGA) on crystalline ZrCdPt2 at its relaxed geometry.

Computed properties:
E: -24.5 eV/cell
SG: P4/mmm (123)

Lattice parameters (Å, degrees): 3.395 3.395 6.429 90.00 90.00 90.00
Element x y z (fractional)
1 Zr 0.000 0.000 0.000
2 Cd 0.000 0.000 0.500
3 Pt 0.500 0.500 0.238
4 Pt 0.500 0.500 0.762

***

# 12
VASP calculation (PBE-GGA) on crystalline Zr2CdPt at its relaxed geometry.

Computed properties:
E: -25.2 eV/cell
SG: R-3m (166)

Lattice parameters (Å, degrees): 10.014 10.014 10.014 17.83 17.83 17.83
Element x y z (fractional)
1 Zr 0.243 0.243 0.243
2 Zr 0.757 0.757 0.757
3 Cd 0.000 0.000 0.000
4 Pt 0.500 0.500 0.500

***

Listing ΔH_f (0 K) for the structures above in their given order: -0.34, -0.10, -0.36, -0.53, -0.49, -0.22, -0.66, 0.56, -0.44, -0.48, -0.74, -0.28 eV/atom.
Listing M_tot for the structures above in their given order: 0.0, 0.0, 0.0, 0.0, 0.0, 0.0, 0.0, 0.0, 0.0, 0.0, 0.0, 0.0 Bohr magnetons per cell.